1.
A plane-wave DFT calculation with PBE was carried out for SrNbPb after structural relaxation.

Computed properties:
- E above lowest polymorph (meV/atom) = 559
- space-group type = F-43m, No. 216

Lattice parameters (Å, degrees): 5.265 5.265 5.265 60.00 60.00 60.00
Fractional coordinates of all 3 atoms:
1 Sr 0.000 0.000 0.000
2 Pb 0.750 0.750 0.750
3 Nb 0.250 0.250 0.250

***

2.
A plane-wave DFT calculation with PBE was carried out for TaNb2Pb after structural relaxation.

Computed properties:
- DFT total energy (eV per formula unit) = -34.24
- space-group type = F-43m, No. 216

Lattice parameters (Å, degrees): 4.792 4.792 4.792 60.00 60.00 60.00
Last column: magnetic moment on the atom in μB.
Fractional coordinates of all 4 atoms:
1 Nb 0.750 0.750 0.750  0.06
2 Nb 0.000 0.000 0.000  0.00
3 Pb 0.500 0.500 0.500  0.00
4 Ta 0.250 0.250 0.250  0.09

***

3.
A plane-wave DFT calculation with PBE was carried out for Ta2NbPb after structural relaxation.

Computed properties:
- DFT total energy (eV per formula unit) = -35.85
- space-group type = F-43m, No. 216

Lattice parameters (Å, degrees): 4.793 4.793 4.793 60.00 60.00 60.00
Fractional coordinates of all 4 atoms:
1 Nb 0.250 0.250 0.250
2 Ta 0.750 0.750 0.750
3 Ta 0.000 0.000 0.000
4 Pb 0.500 0.500 0.500

***

4.
A plane-wave DFT calculation with PBE was carried out for TbNb2Pb2 after structural relaxation.

Computed properties:
- E above lowest polymorph (meV/atom) = 0
- space-group type = I4/mmm, No. 139

Lattice parameters (Å, degrees): 7.274 7.274 7.274 146.14 146.14 48.64
Fractional coordinates of all 5 atoms:
1 Pb 0.394 0.394 0.000
2 Pb 0.606 0.606 0.000
3 Nb 0.750 0.250 0.500
4 Nb 0.250 0.750 0.500
5 Tb 0.000 0.000 0.000

***

5.
A plane-wave DFT calculation with PBE was carried out for TbNb2Pb2 after structural relaxation.

Computed properties:
- E above lowest polymorph (meV/atom) = 272
- space-group type = I4/mmm, No. 139

Lattice parameters (Å, degrees): 6.193 6.193 6.193 132.07 132.07 70.12
Fractional coordinates of all 5 atoms:
1 Nb 0.390 0.390 0.000
2 Nb 0.610 0.610 0.000
3 Pb 0.750 0.250 0.500
4 Pb 0.250 0.750 0.500
5 Tb 0.000 0.000 0.000

***

6.
A plane-wave DFT calculation with PBE was carried out for NbTc2Pb after structural relaxation.

Computed properties:
- DFT total energy (eV per formula unit) = -32.32
- space-group type = F-43m, No. 216

Lattice parameters (Å, degrees): 4.626 4.626 4.626 60.00 60.00 60.00
Last column: magnetic moment on the atom in μB.
Fractional coordinates of all 4 atoms:
1 Tc 0.000 0.000 0.000  0.82
2 Tc 0.750 0.750 0.750  0.14
3 Pb 0.500 0.500 0.500  0.02
4 Nb 0.250 0.250 0.250  -0.07

***

7.
A plane-wave DFT calculation with PBE was carried out for NbTcPb2 after structural relaxation.

Computed properties:
- DFT total energy (eV per formula unit) = -25.29
- space-group type = F-43m, No. 216

Lattice parameters (Å, degrees): 4.920 4.920 4.920 60.00 60.00 60.00
Fractional coordinates of all 4 atoms:
1 Tc 0.750 0.750 0.750
2 Pb 0.250 0.250 0.250
3 Pb 0.500 0.500 0.500
4 Nb 0.000 0.000 0.000

***

8.
A plane-wave DFT calculation with PBE was carried out for NbTePb after structural relaxation.

Computed properties:
- E above lowest polymorph (meV/atom) = 338
- space-group type = F-43m, No. 216

Lattice parameters (Å, degrees): 4.929 4.929 4.929 60.00 60.00 60.00
Fractional coordinates of all 3 atoms:
1 Pb 0.750 0.750 0.750
2 Te 0.000 0.000 0.000
3 Nb 0.250 0.250 0.250

***

9.
A plane-wave DFT calculation with PBE was carried out for NbTe4Pb3 after structural relaxation.

Computed properties:
- DFT total energy (eV per formula unit) = -31.63
- space-group type = P-43m, No. 215

Lattice parameters (Å, degrees): 6.429 6.429 6.429 90.00 90.00 90.00
Last column: magnetic moment on the atom in μB.
Fractional coordinates of all 8 atoms:
1 Pb 0.000 0.000 0.500  0.03
2 Pb 0.500 0.000 0.000  -0.02
3 Pb 0.000 0.500 0.000  0.01
4 Te 0.685 0.315 0.685  0.02
5 Te 0.315 0.315 0.315  0.06
6 Te 0.315 0.685 0.685  0.02
7 Te 0.685 0.685 0.315  0.02
8 Nb 0.000 0.000 0.000  1.95

***

10.
A plane-wave DFT calculation with PBE was carried out for NbTePb after structural relaxation.

Computed properties:
- E above lowest polymorph (meV/atom) = 0
- space-group type = F-43m, No. 216

Lattice parameters (Å, degrees): 4.888 4.888 4.888 60.00 60.00 60.00
Fractional coordinates of all 3 atoms:
1 Te 0.750 0.750 0.750
2 Pb 0.250 0.250 0.250
3 Nb 0.000 0.000 0.000

***

11.
A plane-wave DFT calculation with PBE was carried out for NbTePb2 after structural relaxation.

Computed properties:
- DFT total energy (eV per formula unit) = -18.78
- space-group type = F-43m, No. 216

Lattice parameters (Å, degrees): 5.238 5.238 5.238 60.00 60.00 60.00
Last column: magnetic moment on the atom in μB.
Fractional coordinates of all 4 atoms:
1 Pb 0.250 0.250 0.250  0.01
2 Pb 0.500 0.500 0.500  -0.01
3 Te 0.750 0.750 0.750  -0.05
4 Nb 0.000 0.000 0.000  1.70

***

12.
A plane-wave DFT calculation with PBE was carried out for NbTl2Pb after structural relaxation.

Computed properties:
- DFT total energy (eV per formula unit) = -15.81
- space-group type = F-43m, No. 216

Lattice parameters (Å, degrees): 5.280 5.280 5.280 60.00 60.00 60.00
Last column: magnetic moment on the atom in μB.
Fractional coordinates of all 4 atoms:
1 Nb 0.750 0.750 0.750  2.12
2 Tl 0.000 0.000 0.000  0.02
3 Tl 0.250 0.250 0.250  0.01
4 Pb 0.500 0.500 0.500  -0.01

***

13.
A plane-wave DFT calculation with PBE was carried out for TmNbPb after structural relaxation.

Computed properties:
- E above lowest polymorph (meV/atom) = 397
- space-group type = F-43m, No. 216

Lattice parameters (Å, degrees): 4.998 4.998 4.998 60.00 60.00 60.00
Fractional coordinates of all 3 atoms:
1 Tm 0.000 0.000 0.000
2 Pb 0.750 0.750 0.750
3 Nb 0.250 0.250 0.250

***

14.
A plane-wave DFT calculation with PBE was carried out for TmNbPb after structural relaxation.

Computed properties:
- E above lowest polymorph (meV/atom) = 0
- space-group type = F-43m, No. 216

Lattice parameters (Å, degrees): 4.861 4.861 4.861 60.00 60.00 60.00
Last column: magnetic moment on the atom in μB.
Fractional coordinates of all 3 atoms:
1 Pb 0.000 0.000 0.000  -0.01
2 Nb 0.250 0.250 0.250  0.97
3 Tm 0.750 0.750 0.750  0.07

***

15.
A plane-wave DFT calculation with PBE was carried out for NbPbW after structural relaxation.

Computed properties:
- DFT total energy (eV per formula unit) = -23.31
- space-group type = F-43m, No. 216

Lattice parameters (Å, degrees): 4.599 4.599 4.599 60.00 60.00 60.00
Fractional coordinates of all 3 atoms:
1 Nb 0.000 0.000 0.000
2 Pb 0.250 0.250 0.250
3 W 0.750 0.750 0.750

***

16.
A plane-wave DFT calculation with PBE was carried out for NbPbW2 after structural relaxation.

Computed properties:
- DFT total energy (eV per formula unit) = -36.93
- space-group type = F-43m, No. 216

Lattice parameters (Å, degrees): 4.691 4.691 4.691 60.00 60.00 60.00
Fractional coordinates of all 4 atoms:
1 W 0.000 0.000 0.000
2 W 0.750 0.750 0.750
3 Pb 0.500 0.500 0.500
4 Nb 0.250 0.250 0.250

***

17.
A plane-wave DFT calculation with PBE was carried out for Nb2PbW after structural relaxation.

Computed properties:
- DFT total energy (eV per formula unit) = -34.70
- space-group type = F-43m, No. 216

Lattice parameters (Å, degrees): 4.740 4.740 4.740 60.00 60.00 60.00
Fractional coordinates of all 4 atoms:
1 Nb 0.000 0.000 0.000
2 Nb 0.750 0.750 0.750
3 W 0.250 0.250 0.250
4 Pb 0.500 0.500 0.500

***

18.
A plane-wave DFT calculation with PBE was carried out for Y2NbPb after structural relaxation.

Computed properties:
- DFT total energy (eV per formula unit) = -26.01
- space-group type = F-43m, No. 216

Lattice parameters (Å, degrees): 5.180 5.180 5.180 60.00 60.00 60.00
Last column: magnetic moment on the atom in μB.
Fractional coordinates of all 4 atoms:
1 Y 0.750 0.750 0.750  -0.04
2 Y 0.000 0.000 0.000  0.20
3 Pb 0.500 0.500 0.500  -0.03
4 Nb 0.250 0.250 0.250  0.72

***

19.
A plane-wave DFT calculation with PBE was carried out for YNb2Pb after structural relaxation.

Computed properties:
- DFT total energy (eV per formula unit) = -29.60
- space-group type = F-43m, No. 216

Lattice parameters (Å, degrees): 4.984 4.984 4.984 60.00 60.00 60.00
Fractional coordinates of all 4 atoms:
1 Nb 0.000 0.000 0.000
2 Nb 0.750 0.750 0.750
3 Y 0.250 0.250 0.250
4 Pb 0.500 0.500 0.500

***

20.
A plane-wave DFT calculation with PBE was carried out for Nb2ZnPb after structural relaxation.

Computed properties:
- DFT total energy (eV per formula unit) = -23.16
- space-group type = F-43m, No. 216

Lattice parameters (Å, degrees): 4.777 4.777 4.777 60.00 60.00 60.00
Fractional coordinates of all 4 atoms:
1 Nb 0.000 0.000 0.000
2 Nb 0.750 0.750 0.750
3 Zn 0.250 0.250 0.250
4 Pb 0.500 0.500 0.500

***

21.
A plane-wave DFT calculation with PBE was carried out for ZrNb2Pb2 after structural relaxation.

Computed properties:
- DFT total energy (eV per formula unit) = -32.77
- space-group type = I4/mmm, No. 139

Lattice parameters (Å, degrees): 7.122 7.122 7.122 144.12 144.12 51.65
Fractional coordinates of all 5 atoms:
1 Nb 0.589 0.589 0.000
2 Nb 0.411 0.411 0.000
3 Pb 0.250 0.750 0.500
4 Pb 0.750 0.250 0.500
5 Zr 0.000 0.000 0.000

***

22.
A plane-wave DFT calculation with PBE was carried out for NbPd8 after structural relaxation.

Computed properties:
- calculated formation energy (eV/atom) = 0.46
- space-group type = P6/mmm, No. 191

Lattice parameters (Å, degrees): 8.756 8.756 2.666 90.00 90.00 120.00
Fractional coordinates of all 9 atoms:
1 Pd 0.337 0.168 0.000
2 Pd 0.333 0.667 0.000
3 Pd 0.832 0.663 0.000
4 Pd 0.667 0.333 0.000
5 Pd 0.663 0.832 0.000
6 Pd 0.832 0.168 0.000
7 Pd 0.168 0.337 0.000
8 Pd 0.168 0.832 0.000
9 Nb 0.000 0.000 0.500

***

23.
A plane-wave DFT calculation with PBE was carried out for NbPd5 after structural relaxation.

Computed properties:
- calculated formation energy (eV/atom) = -0.30
- space-group type = R32, No. 155

Lattice parameters (Å, degrees): 5.330 5.330 5.330 54.26 54.26 54.26
Fractional coordinates of all 6 atoms:
1 Pd 0.830 0.500 0.170
2 Pd 0.500 0.170 0.830
3 Pd 0.170 0.830 0.500
4 Pd 0.668 0.668 0.668
5 Pd 0.332 0.332 0.332
6 Nb 0.000 0.000 0.000

***

24.
A plane-wave DFT calculation with PBE was carried out for PrNbPd after structural relaxation.

Computed properties:
- E above lowest polymorph (meV/atom) = 608
- calculated formation energy (eV/atom) = 0.95
- space-group type = F-43m, No. 216

Lattice parameters (Å, degrees): 4.743 4.743 4.743 60.00 60.00 60.00
Fractional coordinates of all 3 atoms:
1 Pr 0.000 0.000 0.000
2 Nb 0.250 0.250 0.250
3 Pd 0.750 0.750 0.750

***

25.
A plane-wave DFT calculation with PBE was carried out for PrNbPd after structural relaxation.

Computed properties:
- E above lowest polymorph (meV/atom) = 0
- calculated formation energy (eV/atom) = 0.35
- space-group type = F-43m, No. 216

Lattice parameters (Å, degrees): 4.751 4.751 4.751 60.00 60.00 60.00
Last column: magnetic moment on the atom in μB.
Fractional coordinates of all 3 atoms:
1 Nb 0.250 0.250 0.250  1.04
2 Pd 0.000 0.000 0.000  0.12
3 Pr 0.750 0.750 0.750  0.08

***

26.
A plane-wave DFT calculation with PBE was carried out for NbPd2Pt after structural relaxation.

Computed properties:
- calculated formation energy (eV/atom) = -0.34
- space-group type = F-43m, No. 216

Lattice parameters (Å, degrees): 4.485 4.485 4.485 60.00 60.00 60.00
Fractional coordinates of all 4 atoms:
1 Pt 0.500 0.500 0.500
2 Pd 0.250 0.250 0.250
3 Pd 0.000 0.000 0.000
4 Nb 0.750 0.750 0.750

***

27.
A plane-wave DFT calculation with PBE was carried out for NbPd5Pt2 after structural relaxation.

Computed properties:
- calculated formation energy (eV/atom) = -0.34
- space-group type = Pbam, No. 55

Lattice parameters (Å, degrees): 5.632 11.205 3.936 90.00 90.00 90.00
Fractional coordinates of all 16 atoms:
1 Nb 0.500 0.500 0.000
2 Nb 0.000 0.000 0.000
3 Pd 0.249 0.625 0.500
4 Pd 0.999 0.755 0.000
5 Pd 0.499 0.745 0.000
6 Pd 0.000 0.500 0.000
7 Pd 0.500 0.000 0.000
8 Pd 0.001 0.245 0.000
9 Pd 0.251 0.125 0.500
10 Pd 0.749 0.875 0.500
11 Pd 0.751 0.375 0.500
12 Pd 0.501 0.255 0.000
13 Pt 0.245 0.879 0.500
14 Pt 0.755 0.121 0.500
15 Pt 0.255 0.379 0.500
16 Pt 0.745 0.621 0.500

***

28.
A plane-wave DFT calculation with PBE was carried out for NbPd2Pt after structural relaxation.

Computed properties:
- calculated formation energy (eV/atom) = -0.52
- space-group type = Pmmn, No. 59

Lattice parameters (Å, degrees): 4.947 4.599 5.536 90.00 90.01 90.00
Fractional coordinates of all 8 atoms:
1 Pd 0.157 0.250 0.999
2 Pd 0.157 0.250 0.500
3 Pd 0.843 0.750 0.001
4 Pd 0.843 0.750 0.500
5 Nb 0.649 0.250 0.250
6 Nb 0.351 0.750 0.750
7 Pt 0.347 0.750 0.250
8 Pt 0.653 0.250 0.750

***

29.
A plane-wave DFT calculation with PBE was carried out for Nb2Pd3Pt after structural relaxation.

Computed properties:
- calculated formation energy (eV/atom) = -0.50
- space-group type = Pmm2, No. 25

Lattice parameters (Å, degrees): 2.840 3.966 8.474 90.00 90.00 90.00
Fractional coordinates of all 6 atoms:
1 Pd 0.500 0.000 0.169
2 Pd 0.000 0.500 0.664
3 Pd 0.000 0.500 0.334
4 Nb 0.000 0.500 0.998
5 Nb 0.500 0.000 0.500
6 Pt 0.500 0.000 0.835

***

no.,ρ (g/cm³)
1,6.24
2,12.25
3,14.12
4,10.59
5,9.82
6,11.77
7,11.94
8,8.39
9,7.66
10,8.60
11,10.37
12,11.31
13,8.82
14,9.59
15,11.68
16,15.19
17,12.72
18,8.07
19,9.14
20,9.87
21,9.30
22,8.86
23,11.19
24,7.49
25,7.45
26,13.03
27,13.57
28,13.21
29,12.18